# CuSbP (PBE-GGA, relaxed)
# Formation energy without anion corrections in eV per atom: 0.280
data_CuSbP
_cell_length_a 3.9855
_cell_length_b 3.9855
_cell_length_c 14.2648
_cell_angle_alpha 90.00
_cell_angle_beta 90.00
_cell_angle_gamma 90.00
_symmetry_space_group_name_H-M 'I 4/m m m'
_symmetry_Int_Tables_number 139
_symmetry_space_group_name_Hall '-I 4 2'
loop_
_atom_site_label
_atom_site_type_symbol
_atom_site_fract_x
_atom_site_fract_y
_atom_site_fract_z
Cu1 Cu 0.0000 0.5000 0.0000
Sb1 Sb 0.0000 0.0000 0.1514
P1 P 0.0000 0.0000 0.3788

# Pm2PrUS4 (PBE-GGA, relaxed)
# Formation energy without anion corrections in eV per atom: -1.834
data_Pm2PrUS4
_cell_length_a 6.9618
_cell_length_b 3.9873
_cell_length_c 6.9775
_cell_angle_alpha 90.00
_cell_angle_beta 109.13
_cell_angle_gamma 90.00
_symmetry_space_group_name_H-M 'P 1 2/m 1'
_symmetry_Int_Tables_number 10
loop_
_symmetry_equiv_pos_as_xyz
'x,y,z'
'-x,-y,-z'
'-x,y,-z'
'x,-y,z'
loop_
_atom_site_label
_atom_site_type_symbol
_atom_site_fract_x
_atom_site_fract_y
_atom_site_fract_z
Pm1 Pm 0.0000 0.0000 0.0000
Pm2 Pm 0.0000 0.5000 0.5000
Pr1 Pr 0.5000 0.0000 0.5000
U1 U 0.5000 0.5000 0.0000
S1 S 0.2502 0.5000 0.2417
S2 S 0.2559 0.0000 0.7597

# UTlTcO6 (PBE-GGA, relaxed)
# Formation energy without anion corrections in eV per atom: -2.020
data_UTlTcO6
_cell_length_a 7.2954
_cell_length_b 7.8718
_cell_length_c 10.7587
_cell_angle_alpha 90.00
_cell_angle_beta 90.00
_cell_angle_gamma 90.00
_symmetry_space_group_name_H-M 'I m m a'
_symmetry_Int_Tables_number 74
_symmetry_space_group_name_Hall '-I 2b 2'
loop_
_atom_site_label
_atom_site_type_symbol
_atom_site_fract_x
_atom_site_fract_y
_atom_site_fract_z
U1 U 0.0000 0.0000 0.0000
Tl1 Tl 0.0000 0.2500 0.3466
Tc1 Tc 0.2500 0.2500 0.7500
O1 O 0.0000 0.2500 0.0819
O2 O 0.0000 0.2500 0.7091
O3 O 0.2008 0.0708 0.8749

# Ta2TlRe (PBE-GGA, relaxed)
# Formation energy from the elements in eV per formula unit: 1.4
data_Ta2TlRe
_cell_length_a 2.9232
_cell_length_b 4.6653
_cell_length_c 5.5395
_cell_angle_alpha 90.00
_cell_angle_beta 99.73
_cell_angle_gamma 90.00
_symmetry_space_group_name_H-M 'P 1 m 1'
_symmetry_Int_Tables_number 6
loop_
_symmetry_equiv_pos_as_xyz
'x,y,z'
'x,-y,z'
loop_
_atom_site_label
_atom_site_type_symbol
_atom_site_fract_x
_atom_site_fract_y
_atom_site_fract_z
Ta1 Ta 0.0000 0.0000 0.0000
Ta2 Ta 0.2858 0.5000 0.7350
Tl1 Tl 0.6116 0.5000 0.2504
Re1 Re 0.5704 0.0000 0.5553

Computed spin magnetization (μB per atom) in order:
0.000 0.346 0.134 0.000
Computed total energy (eV/atom) in order:
-4.263 -7.094 -7.994 -9.284